Density functional theory data (SCAN) for a PBEsol-optimized structure of TcRh5.

formation energy: -1.41 kcal/mol of atoms
crystal system: monoclinic
polymorph energy (0 for the lowest one): 19 meV per atom

a b c (Å): 2.692 5.085 6.328
angles (deg): 103.68 90.00 105.35
Atoms (fractional coordinates):
Tc 0.723 0.445 0.945
Rh 0.385 0.771 0.271
Rh 0.058 0.116 0.616
Rh 0.331 0.663 0.669
Rh 0.667 0.335 0.333
Rh 0.002 0.004 0.999

***

Density functional theory data (SCAN) for a PBEsol-optimized structure of Tc3Rh.

formation energy: -2.71 kcal/mol of atoms
crystal system: orthorhombic
polymorph energy (0 for the lowest one): 7 meV per atom

a b c (Å): 2.696 4.729 5.098
angles (deg): 117.63 105.33 90.00
Atoms (fractional coordinates):
Tc 0.249 0.917 0.498
Tc 0.751 0.419 0.502
Tc 0.500 0.497 0.000
Rh 0.000 0.000 0.000

***

Density functional theory data (SCAN) for a PBEsol-optimized structure of TcRh3.

formation energy: -2.03 kcal/mol of atoms
crystal system: orthorhombic

a b c (Å): 2.690 4.289 4.681
angles (deg): 90.00 90.00 90.00
Atoms (fractional coordinates):
Tc 0.000 0.500 0.331
Rh 0.000 0.000 0.003
Rh 0.500 0.500 0.831
Rh 0.500 0.000 0.502

***

Density functional theory data (SCAN) for a PBEsol-optimized structure of TcTe2Rh.

crystal system: tetragonal
raw formation energy: 0.44 eV per atom
polymorph energy (0 for the lowest one): 258 meV per atom

a b c (Å): 3.899 3.899 5.479
angles (deg): 110.84 110.84 90.00
Atoms (fractional coordinates):
Te 0.750 0.250 0.500
Tc 0.250 0.750 0.500
Rh 0.500 0.500 0.000
Te 0.000 0.000 0.000